A geometry-optimized BeHgSO structure, computed with GGA-PBE.

For the energy above the most stable polymorph in this dataset, the calculation gives 0.9719 eV/atom. The uncorrected energy comes out at -3.51 eV per atom.

The structure in extended XYZ format:
```
8
Lattice="3.8942 0.0000 0.0000 0.0000 3.8942 0.0000 0.0000 0.0000 8.4462" Properties=species:S:1:pos:R:3 pbc="T T T"
Be 0.9736 0.9736 1.5459
Be 2.9207 2.9207 6.9003
Hg 0.9736 2.9207 4.2231
Hg 2.9207 0.9736 4.2231
S 0.9736 0.9736 6.9659
S 2.9207 2.9207 1.4803
O 0.9736 0.9736 0.1076
O 2.9207 2.9207 8.3386
```